Record 1
Below is a geometry-optimized YHfMnBi2 structure, with properties calculated at the PBEsol level.

Results
The total magnetic moment comes out at 2.17 μB per cell. The total energy is -32.956 eV for the cell shown. The calculated formation energy is 0.5403 eV/atom. As for the symmetry: P4/mmm (123).

a b c (Å): 5.1217 5.1217 4.7933
angles (deg): 90.00 90.00 90.00
Sites, in units of the cell vectors:
Y 0.0000 0.0000 0.0000
Hf 0.5000 0.5000 0.0000
Mn 0.0000 0.0000 0.5000
Bi 0.0000 0.5000 0.5000
Bi 0.5000 0.0000 0.5000



Record 2
Below is a geometry-optimized Hf3BiMo structure, with properties calculated at the PBEsol level.

Results
The total magnetic moment comes out at 0.00 μB per cell. The total energy is -44.358 eV for the cell shown. The calculated formation energy is 0.6409 eV/atom. As for the symmetry: Pm-3m (221).

a b c (Å): 4.9738 4.9738 4.9738
angles (deg): 90.00 90.00 90.00
Sites, in units of the cell vectors:
Hf 0.0000 0.0000 0.5000
Hf 0.0000 0.5000 0.0000
Hf 0.5000 0.0000 0.0000
Bi 0.5000 0.5000 0.5000
Mo 0.0000 0.0000 0.0000



Record 3
Below is a geometry-optimized HfBiMoRu2 structure, with properties calculated at the PBEsol level.

Results
The total magnetic moment comes out at 0.00 μB per cell. The total energy is -41.367 eV for the cell shown. The calculated formation energy is 1.1068 eV/atom. As for the symmetry: P4/mmm (123).

a b c (Å): 4.6161 4.6161 4.9879
angles (deg): 90.00 90.00 90.00
Sites, in units of the cell vectors:
Hf 0.0000 0.0000 0.0000
Bi 0.5000 0.5000 0.0000
Mo 0.0000 0.0000 0.5000
Ru 0.0000 0.5000 0.5000
Ru 0.5000 0.0000 0.5000



Record 4
Below is a geometry-optimized Hf3NbBi structure, with properties calculated at the PBEsol level.

Results
The total magnetic moment comes out at 0.00 μB per cell. The total energy is -42.302 eV for the cell shown. The calculated formation energy is 0.8629 eV/atom. As for the symmetry: Pm-3m (221).

a b c (Å): 5.0349 5.0349 5.0349
angles (deg): 90.00 90.00 90.00
Sites, in units of the cell vectors:
Hf 0.0000 0.0000 0.5000
Hf 0.0000 0.5000 0.0000
Hf 0.5000 0.0000 0.0000
Nb 0.0000 0.0000 0.0000
Bi 0.5000 0.5000 0.5000



Record 5
Below is a geometry-optimized HfNbBi3 structure, with properties calculated at the PBEsol level.

Results
The total magnetic moment comes out at 0.03 μB per cell. The total energy is -29.325 eV for the cell shown. The calculated formation energy is 0.9711 eV/atom. As for the symmetry: Pm-3m (221).

a b c (Å): 5.3807 5.3807 5.3807
angles (deg): 90.00 90.00 90.00
Sites, in units of the cell vectors:
Hf 0.0000 0.0000 0.0000
Nb 0.5000 0.5000 0.5000
Bi 0.0000 0.5000 0.5000
Bi 0.5000 0.0000 0.5000
Bi 0.5000 0.5000 0.0000



Record 6
Below is a geometry-optimized HfNbBi2Te structure, with properties calculated at the PBEsol level.

Results
The total magnetic moment comes out at 3.51 μB per cell. The total energy is -25.905 eV for the cell shown. The calculation puts the uncorrected formation energy at 1.50 eV per atom. As for the symmetry: P4/mmm (123).

a b c (Å): 5.7239 5.7239 5.1549
angles (deg): 90.00 90.00 90.00
Sites, in units of the cell vectors:
Hf 0.0000 0.0000 0.0000
Nb 0.5000 0.5000 0.0000
Bi 0.0000 0.5000 0.5000
Bi 0.5000 0.0000 0.5000
Te 0.0000 0.0000 0.5000



Record 7
Below is a geometry-optimized HfNiBi2 structure, with properties calculated at the PBEsol level.

Results
The total magnetic moment comes out at 0.00 μB per cell. The total energy is -24.139 eV for the cell shown. The calculated formation energy is 0.2730 eV/atom. As for the symmetry: Fm-3m (225).

a b c (Å): 4.9496 4.9496 4.9496
angles (deg): 60.00 60.00 60.00
Sites, in units of the cell vectors:
Hf 0.0000 0.0000 0.0000
Ni 0.5000 0.5000 0.5000
Bi 0.2500 0.2500 0.2500
Bi 0.7500 0.7500 0.7500



Record 8
Below is a geometry-optimized Hf2Ni2Bi structure, with properties calculated at the PBEsol level.

Results
The total magnetic moment comes out at 0.00 μB per cell. The total energy is -79.314 eV for the cell shown. The calculated formation energy is -0.4100 eV/atom. As for the symmetry: P4/mbm (127).

a b c (Å): 6.9005 6.9005 3.5931
angles (deg): 90.00 90.00 90.00
Sites, in units of the cell vectors:
Hf 0.1615 0.3385 0.0000
Hf 0.3385 0.8385 0.0000
Hf 0.6615 0.1615 0.0000
Hf 0.8385 0.6615 0.0000
Ni 0.1237 0.6237 0.5000
Ni 0.3763 0.1237 0.5000
Ni 0.6237 0.8763 0.5000
Ni 0.8763 0.3763 0.5000
Bi 0.0000 0.0000 0.5000
Bi 0.5000 0.5000 0.5000



Record 9
Below is a geometry-optimized HfBiO4 structure, with properties calculated at the PBEsol level.

Results
The total magnetic moment comes out at 0.00 μB per cell. The total energy is -198.004 eV for the cell shown. The calculation puts the uncorrected formation energy at -2.29 eV per atom. As for the symmetry: P-1 (2).

a b c (Å): 5.4058 7.6841 7.7000
angles (deg): 97.80 91.22 93.09
Sites, in units of the cell vectors:
Hf 0.2159 0.1740 0.3646
Hf 0.2557 0.6752 0.3264
Hf 0.7443 0.3248 0.6736
Hf 0.7841 0.8260 0.6354
Bi 0.2431 0.1317 0.8643
Bi 0.2802 0.6487 0.8181
Bi 0.7198 0.3513 0.1819
Bi 0.7569 0.8683 0.1357
O 0.0013 0.1750 0.1180
O 0.0789 0.4084 0.8115
O 0.0954 0.6814 0.5682
O 0.1008 0.9185 0.3298
O 0.3907 0.4268 0.3190
O 0.4081 0.6743 0.0799
O 0.4152 0.1966 0.5906
O 0.4925 0.1121 0.1896
O 0.5075 0.8879 0.8104
O 0.5848 0.8034 0.4094
O 0.5919 0.3257 0.9201
O 0.6093 0.5732 0.6810
O 0.8992 0.0815 0.6702
O 0.9046 0.3186 0.4318
O 0.9211 0.5916 0.1885
O 0.9987 0.8250 0.8820



Record 10
Below is a geometry-optimized Hf2Bi2O7 structure, with properties calculated at the PBEsol level.

Results
The total magnetic moment comes out at 0.00 μB per cell. The total energy is -188.099 eV for the cell shown. The calculation puts the uncorrected formation energy at -2.52 eV per atom. As for the symmetry: I-4 (82).

a b c (Å): 7.5936 7.5936 7.5936
angles (deg): 119.81 119.81 90.33
Sites, in units of the cell vectors:
Hf 0.1250 0.3746 0.7494
Hf 0.6244 0.8750 0.2496
Hf 0.6254 0.3748 0.7504
Hf 0.6252 0.3756 0.2506
Bi 0.0736 0.8629 0.6983
Bi 0.1371 0.8354 0.2107
Bi 0.1646 0.3753 0.3017
Bi 0.6247 0.9264 0.7893
O 0.0000 0.0000 0.0000
O 0.2500 0.7500 0.5000
O 0.2927 0.3084 0.5899
O 0.2973 0.7073 0.0158
O 0.3138 0.3138 0.0000
O 0.5282 0.4178 0.4718
O 0.5353 0.0353 0.5000
O 0.5822 0.0540 0.1105
O 0.6862 0.6862 0.0000
O 0.6916 0.2815 0.9842
O 0.7185 0.7027 0.4101
O 0.9435 0.4718 0.8895
O 0.9460 0.0565 0.5282
O 0.9647 0.4647 0.5000



Record 11
Below is a geometry-optimized SrHfBiO2 structure, with properties calculated at the PBEsol level.

Results
The total magnetic moment comes out at 0.00 μB per cell. The total energy is -35.609 eV for the cell shown. The calculation puts the uncorrected formation energy at -1.70 eV per atom. As for the symmetry: P4/mmm (123).

a b c (Å): 4.2371 4.2371 5.8483
angles (deg): 90.00 90.00 90.00
Sites, in units of the cell vectors:
Sr 0.0000 0.0000 0.0000
Hf 0.5000 0.5000 0.5000
Bi 0.5000 0.5000 0.0000
O 0.0000 0.5000 0.5000
O 0.5000 0.0000 0.5000



Record 12
Below is a geometry-optimized HfBiOs3 structure, with properties calculated at the PBEsol level.

Results
The total magnetic moment comes out at 0.00 μB per cell. The total energy is -40.724 eV for the cell shown. The calculated formation energy is 2.1424 eV/atom. As for the symmetry: Pm-3m (221).

a b c (Å): 4.7884 4.7884 4.7884
angles (deg): 90.00 90.00 90.00
Sites, in units of the cell vectors:
Hf 0.0000 0.0000 0.0000
Bi 0.5000 0.5000 0.5000
Os 0.0000 0.0000 0.5000
Os 0.0000 0.5000 0.0000
Os 0.5000 0.0000 0.0000



Record 13
Below is a geometry-optimized Hf2BiP2 structure, with properties calculated at the PBEsol level.

Results
The total magnetic moment comes out at 0.00 μB per cell. The total energy is -39.926 eV for the cell shown. The calculated formation energy is -0.6103 eV/atom. As for the symmetry: I4/mmm (139).

a b c (Å): 7.4050 7.4050 7.4050
angles (deg): 150.91 150.91 41.61
Sites, in units of the cell vectors:
Hf 0.1172 0.1172 0.0000
Hf 0.8828 0.8828 0.0000
Bi 0.5000 0.5000 0.0000
P 0.2500 0.7500 0.5000
P 0.7500 0.2500 0.5000



Record 14
Below is a geometry-optimized HfBiP3 structure, with properties calculated at the PBEsol level.

Results
The total magnetic moment comes out at 0.00 μB per cell. The total energy is -25.361 eV for the cell shown. The calculated formation energy is 1.3604 eV/atom. As for the symmetry: Pm-3m (221).

a b c (Å): 4.9871 4.9871 4.9871
angles (deg): 90.00 90.00 90.00
Sites, in units of the cell vectors:
Hf 0.0000 0.0000 0.0000
Bi 0.5000 0.5000 0.5000
P 0.0000 0.5000 0.5000
P 0.5000 0.0000 0.5000
P 0.5000 0.5000 0.0000



Record 15
Below is a geometry-optimized HfBi2P structure, with properties calculated at the PBEsol level.

Results
The total magnetic moment comes out at 0.91 μB per cell. The total energy is -44.117 eV for the cell shown. The calculated formation energy is 0.7018 eV/atom. As for the symmetry: I-42d (122).

a b c (Å): 7.8401 7.8401 7.8401
angles (deg): 130.87 130.87 72.03
Sites, in units of the cell vectors:
Hf 0.0000 0.0000 0.0000
Hf 0.7500 0.2500 0.5000
Bi 0.1407 0.6250 0.0157
Bi 0.3750 0.3907 0.5157
Bi 0.6093 0.1250 0.9843
Bi 0.8750 0.8593 0.4843
P 0.2500 0.7500 0.5000
P 0.5000 0.5000 0.0000



Record 16
Below is a geometry-optimized HfBi3Pb structure, with properties calculated at the PBEsol level.

Results
The total magnetic moment comes out at 0.00 μB per cell. The total energy is -20.875 eV for the cell shown. The calculated formation energy is 1.2966 eV/atom. As for the symmetry: Pm-3m (221). The value obtained for the relative energy among the computed polymorphs is 965 meV/atom.

a b c (Å): 5.6652 5.6652 5.6652
angles (deg): 90.00 90.00 90.00
Sites, in units of the cell vectors:
Hf 0.0000 0.0000 0.0000
Bi 0.0000 0.5000 0.5000
Bi 0.5000 0.0000 0.5000
Bi 0.5000 0.5000 0.0000
Pb 0.5000 0.5000 0.5000



Record 17
Below is a geometry-optimized HfBi3Pb structure, with properties calculated at the PBEsol level.

Results
The total magnetic moment comes out at 0.00 μB per cell. The total energy is -25.701 eV for the cell shown. The calculated formation energy is 0.3313 eV/atom. As for the symmetry: Pm-3m (221). The value obtained for the relative energy among the computed polymorphs is 0 meV/atom.

a b c (Å): 5.5725 5.5725 5.5725
angles (deg): 90.00 90.00 90.00
Sites, in units of the cell vectors:
Hf 0.0000 0.0000 0.0000
Bi 0.0000 0.0000 0.5000
Bi 0.0000 0.5000 0.0000
Bi 0.5000 0.0000 0.0000
Pb 0.5000 0.5000 0.5000



Record 18
Below is a geometry-optimized HfBi3Pd structure, with properties calculated at the PBEsol level.

Results
The total magnetic moment comes out at 0.00 μB per cell. The total energy is -25.806 eV for the cell shown. The calculated formation energy is 0.7024 eV/atom. As for the symmetry: Pm-3m (221). The value obtained for the relative energy among the computed polymorphs is 140 meV/atom.

a b c (Å): 5.4807 5.4807 5.4807
angles (deg): 90.00 90.00 90.00
Sites, in units of the cell vectors:
Hf 0.0000 0.0000 0.0000
Bi 0.0000 0.0000 0.5000
Bi 0.0000 0.5000 0.0000
Bi 0.5000 0.0000 0.0000
Pd 0.5000 0.5000 0.5000



Record 19
Below is a geometry-optimized Hf2BiPd structure, with properties calculated at the PBEsol level.

Results
The total magnetic moment comes out at 0.00 μB per cell. The total energy is -63.529 eV for the cell shown. The calculated formation energy is -0.1285 eV/atom. As for the symmetry: I-42d (122).

a b c (Å): 6.1698 6.1698 6.1698
angles (deg): 103.41 103.41 122.43
Sites, in units of the cell vectors:
Hf 0.0885 0.1250 0.4635
Hf 0.3750 0.9115 0.0365
Hf 0.6615 0.6250 0.5365
Hf 0.8750 0.3385 0.9635
Bi 0.2500 0.7500 0.5000
Bi 0.5000 0.5000 0.0000
Pd 0.0000 0.0000 0.0000
Pd 0.7500 0.2500 0.5000



Record 20
Below is a geometry-optimized HfBi3Pd structure, with properties calculated at the PBEsol level.

Results
The total magnetic moment comes out at 0.00 μB per cell. The total energy is -26.507 eV for the cell shown. The calculated formation energy is 0.5622 eV/atom. As for the symmetry: Pm-3m (221). The value obtained for the relative energy among the computed polymorphs is 0 meV/atom.

a b c (Å): 5.2333 5.2333 5.2333
angles (deg): 90.00 90.00 90.00
Sites, in units of the cell vectors:
Hf 0.0000 0.0000 0.0000
Bi 0.0000 0.5000 0.5000
Bi 0.5000 0.0000 0.5000
Bi 0.5000 0.5000 0.0000
Pd 0.5000 0.5000 0.5000